No. 1
A PBEsol-optimized structure of Al2TeRu, computed with SCAN.

Structure (extended XYZ):
```
4
Lattice="3.005 0.000 0.000 0.000 3.005 0.000 0.000 0.000 8.148" Properties=species:S:1:pos:R:3 pbc="T T T"
Al 0.000 0.000 1.401
Al 0.000 0.000 6.747
Te 1.502 1.502 4.074
Ru 1.502 1.502 0.000
```

Computed properties:
The calculation puts the density of states at the Fermi level at 1.442 states/eV/f.u. Its crystal system is tetragonal. The energy comes out at -22.1722 eV/atom. The value obtained for the uncorrected formation energy is -0.277 eV/atom. Its volume is 73.6 Å³ per cell.



No. 2
A PBEsol-optimized structure of AlTeRu2, computed with SCAN.

Structure (extended XYZ):
```
4
Lattice="-1.554 2.128 4.754 1.554 -2.128 4.754 1.554 2.128 -4.754" Properties=species:S:1:pos:R:3 pbc="T T T"
Al 0.000 0.000 0.000
Te 1.554 0.000 2.599
Ru 0.000 0.000 4.742
Ru 0.000 2.128 2.612
```

Computed properties:
The calculation puts the density of states at the Fermi level at 3.249 states/eV/f.u. Its crystal system is orthorhombic. The energy comes out at -28.6530 eV/atom. The value obtained for the uncorrected formation energy is 0.011 eV/atom. Its volume is 62.9 Å³ per cell. For the offset from the most stable computed form, the calculation gives 0 meV/atom.



No. 3
A PBEsol-optimized structure of AlTe2Ru, computed with SCAN.

Structure (extended XYZ):
```
4
Lattice="3.106 0.000 0.000 0.000 3.106 0.000 0.000 0.000 8.614" Properties=species:S:1:pos:R:3 pbc="T T T"
Al 0.000 0.000 0.000
Te 0.000 0.000 3.133
Te 1.553 1.553 6.341
Ru 1.553 1.553 1.476
```

Computed properties:
The calculation puts the density of states at the Fermi level at 2.725 states/eV/f.u. Its crystal system is tetragonal. The energy comes out at -29.3129 eV/atom. The value obtained for the uncorrected formation energy is -0.043 eV/atom. Its volume is 83.1 Å³ per cell.



No. 4
A PBEsol-optimized structure of Ti6Al16Ru7, computed with SCAN.

Structure (extended XYZ):
```
29
Lattice="0.000 6.090 6.090 6.090 0.000 6.090 6.090 6.090 0.000" Properties=species:S:1:pos:R:3 pbc="T T T"
Ti 6.090 6.090 2.529
Ti 6.090 2.529 6.090
Ti 9.652 6.090 6.090
Ti 2.529 6.090 6.090
Ti 6.090 9.652 6.090
Ti 6.090 6.090 9.652
Al 7.555 4.626 4.626
Al 1.919 1.919 1.919
Al 4.171 4.171 1.919
Al 4.171 1.919 4.171
Al 4.626 4.626 4.626
Al 7.555 7.555 4.626
Al 7.555 4.626 7.555
Al 10.262 8.009 8.009
Al 1.919 4.171 4.171
Al 4.626 7.555 4.626
Al 4.626 4.626 7.555
Al 7.555 7.555 7.555
Al 8.009 10.262 8.009
Al 8.009 8.009 10.262
Al 10.262 10.262 10.262
Al 4.626 7.555 7.555
Ru 3.045 3.045 0.000
Ru 3.045 0.000 3.045
Ru 6.090 3.045 3.045
Ru 0.000 3.045 3.045
Ru 3.045 6.090 3.045
Ru 3.045 3.045 6.090
Ru 6.090 6.090 6.090
```

Computed properties:
The calculation puts the density of states at the Fermi level at 19.465 states/eV/f.u. Its crystal system is cubic. The energy comes out at -16.6557 eV/atom. As for the formation enthalpy at 0 K: -0.6559 eV per atom. Its volume is 451.8 Å³ per cell.



No. 5
A PBEsol-optimized structure of AlTl2Ru, computed with SCAN.

Structure (extended XYZ):
```
4
Lattice="-2.092 2.092 4.220 2.092 -2.092 4.220 2.092 2.092 -4.220" Properties=species:S:1:pos:R:3 pbc="T T T"
Al 0.000 0.000 0.000
Tl 2.092 0.000 2.110
Tl 0.000 2.092 2.110
Ru 0.000 0.000 4.220
```

Computed properties:
The calculation puts the density of states at the Fermi level at 1.476 states/eV/f.u. Its crystal system is tetragonal. The energy comes out at -46.3226 eV/atom. As for the formation enthalpy at 0 K: 0.5011 eV per atom. Its volume is 73.9 Å³ per cell. For the offset from the most stable computed form, the calculation gives 272 meV/atom.



No. 6
A PBEsol-optimized structure of AlTl2Ru, computed with SCAN.

Structure (extended XYZ):
```
4
Lattice="4.146 0.000 0.000 0.000 1.831 5.141 0.000 -1.831 5.141" Properties=species:S:1:pos:R:3 pbc="T T T"
Al 0.000 0.000 0.000
Tl 0.000 0.000 2.877
Tl 2.073 0.000 6.112
Ru 2.073 0.000 8.958
```

Computed properties:
The calculation puts the density of states at the Fermi level at 1.689 states/eV/f.u. Its crystal system is orthorhombic. The energy comes out at -46.5945 eV/atom. As for the formation enthalpy at 0 K: 0.2292 eV per atom. Its volume is 78.0 Å³ per cell. For the offset from the most stable computed form, the calculation gives 0 meV/atom.



no.,ρ (g/cm³)
1,6.380
2,9.416
3,7.659
4,5.242
5,12.068
6,11.422